Record 1
# KMgP2S

Crystalline KMgP2S at its relaxed geometry (PBE-GGA, the Alexandria database).

Geometry as POSCAR:
```
KMgP2S
1.0
4.936 0.000 0.000
0.000 4.936 0.000
0.000 0.000 5.055
P Mg S K
2 1 1 1
direct
0.500 0.000 0.000 P
0.000 0.500 0.000 P
0.000 0.000 0.000 Mg
0.000 0.000 0.500 S
0.500 0.500 0.500 K
```

Total magnetization   0.149 μB per atom
ΔE to the lowest computed polymorph   0 meV/atom
Total DFT energy (no corrections)   -3.309 eV per atom

---

Record 2
# MnMo2

Crystalline MnMo2 at its relaxed geometry (PBE-GGA, the Alexandria database).

Geometry as POSCAR:
```
MnMo2
1.0
4.358 0.000 0.000
-2.179 3.774 0.000
0.000 0.000 2.652
Mo Mn
2 1
direct
0.333 0.667 0.338 Mo
0.667 0.333 0.662 Mo
0.000 0.000 0.000 Mn
```

Total magnetization   0.507 μB per atom
Total DFT energy (no corrections)   -10.142 eV per atom

---

Record 3
# Pr2Nd3Y6

Crystalline Pr2Nd3Y6 at its relaxed geometry (PBE-GGA, the Alexandria database).

Geometry as POSCAR:
```
Pr2Nd3Y6
1.0
5.972 0.000 1.783
2.986 5.408 0.891
-1.321 0.000 11.725
Nd Y Pr
3 6 2
direct
0.336 0.328 0.000 Nd
0.664 0.672 0.000 Nd
0.000 0.000 0.000 Nd
0.084 0.333 0.750 Y
0.251 0.000 0.250 Y
0.417 0.667 0.750 Y
0.749 0.000 0.750 Y
0.916 0.667 0.250 Y
0.583 0.333 0.250 Y
0.167 0.667 0.500 Pr
0.833 0.333 0.500 Pr
```

Total magnetization   0.000 μB per atom
ΔE to the lowest computed polymorph   0 meV/atom
Total DFT energy (no corrections)   -5.516 eV per atom

---

Record 4
# BeNi4

Crystalline BeNi4 at its relaxed geometry (PBE-GGA, the Alexandria database).

Geometry as POSCAR:
```
BeNi4
1.0
-1.791 -3.158 2.197
0.916 3.206 2.624
-2.691 1.346 -2.992
Ni Be
4 1
direct
0.000 0.000 0.500 Ni
0.500 0.500 0.500 Ni
0.000 0.500 0.000 Ni
0.500 0.000 0.000 Ni
0.000 0.000 0.000 Be
```

Total magnetization   0.092 μB per atom
ΔE to the lowest computed polymorph   548 meV/atom
Total DFT energy (no corrections)   -4.955 eV per atom

---

| no. | mass density (kg/m3) |
| --- | --- |
| 1 | 2122 |
| 2 | 9398 |
| 3 | 5294 |
| 4 | 6881 |